1.
A plane-wave DFT calculation with PBE was carried out for an optimized crystal structure of TbPm3Sn2C.

```
data_TbPm3Sn2C
_chemical_formula_sum 'Tb1 Pm3 Sn2 C1'
_cell_length_a 4.8647
_cell_length_b 4.9463
_cell_length_c 8.9109
_cell_angle_alpha 106.11
_cell_angle_beta 105.84
_cell_angle_gamma 90.00
_symmetry_space_group_name_H-M 'P 1'
_symmetry_Int_Tables_number 1
loop_
_symmetry_equiv_pos_as_xyz
'x,y,z'
loop_
_atom_site_label
_atom_site_fract_x
_atom_site_fract_y
_atom_site_fract_z
_atom_site_occupancy
Pm1 0.1612 0.1612 0.3224 1
Pm2 0.0000 0.5000 0.0000 1
Pm3 0.8388 0.8388 0.6776 1
Sn1 0.6384 0.6384 0.2769 1
Sn2 0.3616 0.3616 0.7231 1
Tb1 0.5000 0.0000 0.0000 1
C1 0.0000 0.0000 0.0000 1
```

Summary:
Formation energy from the elements, kJ/mol of atoms: -59.0
Density of states at the Fermi level, states/eV/cell: 0.946

***

2.
A plane-wave DFT calculation with PBE was carried out for an optimized crystal structure of TbPm2SnC.

```
data_TbPm2SnC
_chemical_formula_sum 'Tb1 Pm2 Sn1 C1'
_cell_length_a 4.9330
_cell_length_b 5.0606
_cell_length_c 5.0606
_cell_angle_alpha 90.00
_cell_angle_beta 90.00
_cell_angle_gamma 90.00
_symmetry_space_group_name_H-M 'P 1'
_symmetry_Int_Tables_number 1
loop_
_symmetry_equiv_pos_as_xyz
'x,y,z'
loop_
_atom_site_label
_atom_site_fract_x
_atom_site_fract_y
_atom_site_fract_z
_atom_site_occupancy
C1 0.0000 0.0000 0.0000 1
Sn1 0.5000 0.5000 0.5000 1
Pm1 0.0000 0.0000 0.5000 1
Pm2 0.0000 0.5000 0.0000 1
Tb1 0.5000 0.0000 0.0000 1
```

Summary:
Formation energy from the elements, kJ/mol of atoms: -52.2
Density of states at the Fermi level, states/eV/cell: 2.378